(1)
CdBi7Pb12 (PBE, relaxed); formation energy from the elements = 1.241 eV per formula unit; final energy = -71.341 eV/cell; SG = R-3; E above lowest polymorph = 0.000 eV/atom
1.0
7.408 4.277 3.436
-7.408 4.277 3.436
0.000 -8.554 3.436
Cd Bi Pb
1 7 12
Direct
0.000 0.000 0.000
0.036 0.328 0.924
0.076 0.964 0.672
0.328 0.924 0.036
0.500 0.500 0.500
0.672 0.076 0.964
0.924 0.036 0.328
0.964 0.672 0.076
0.020 0.410 0.300
0.228 0.371 0.662
0.300 0.020 0.410
0.338 0.772 0.629
0.371 0.662 0.228
0.410 0.300 0.020
0.590 0.700 0.980
0.629 0.338 0.772
0.662 0.228 0.371
0.700 0.980 0.590
0.772 0.629 0.338
0.980 0.590 0.700

***

(2)
K2Tl (PBE, relaxed); formation energy from the elements = -0.148 eV per formula unit; final energy = -9.419 eV/cell; SG = C2/m; E above lowest polymorph = 0.015 eV/atom
1.0
6.017 -3.161 0.000
6.017 3.161 0.000
-2.932 0.000 7.548
K Tl
4 2
Direct
0.079 0.079 0.327
0.301 0.301 0.859
0.699 0.699 0.141
0.921 0.921 0.673
0.392 0.392 0.344
0.608 0.608 0.656

***

(3)
Li2Tl (PBE, relaxed); formation energy from the elements = -0.293 eV per formula unit; final energy = -12.974 eV/cell; SG = Fd-3m
1.0
0.000 3.918 3.918
3.918 0.000 3.918
3.918 3.918 0.000
Li Tl
4 2
Direct
0.000 0.000 0.000
0.000 0.000 0.500
0.000 0.500 0.000
0.500 0.000 0.000
0.375 0.375 0.375
0.625 0.625 0.625

***

(4)
ZrMn2Fe (PBE, relaxed); formation energy from the elements = 1.113 eV per formula unit; final energy = -34.237 eV/cell; SG = C2/m; E above lowest polymorph = 0.223 eV/atom
1.0
2.559 -4.227 0.000
2.559 4.227 0.000
-1.047 0.000 2.534
Zr Mn Fe
1 2 1
Direct
0.000 0.000 0.000
0.000 0.500 0.500
0.500 0.000 0.500
0.500 0.500 0.000

***

(5)
SnH2Pb (PBE, relaxed); final energy = -12.661 eV/cell; SG = R3m; E above lowest polymorph = 0.000 eV/atom
1.0
1.803 1.041 6.030
-1.803 1.041 6.030
0.000 -2.082 6.030
Sn H Pb
1 2 1
Direct
0.000 0.000 0.000
0.379 0.379 0.379
0.633 0.633 0.633
0.176 0.176 0.176

***

(6)
AcYIn2Hg2 (PBE, relaxed); formation energy from the elements = -2.788 eV per formula unit; final energy = -19.441 eV/cell; SG = P-3m1
1.0
4.953 0.000 0.000
-2.476 4.289 0.000
0.000 0.000 7.892
Ac Y In Hg
1 1 2 2
Direct
0.000 0.000 0.000
0.000 0.000 0.500
0.333 0.667 0.263
0.667 0.333 0.737
0.333 0.667 0.692
0.667 0.333 0.308

***

(7)
B6Pb (PBE, relaxed); formation energy from the elements = 0.816 eV per formula unit; final energy = -42.957 eV/cell; SG = Pm-3m
1.0
4.222 0.000 0.000
0.000 4.222 0.000
0.000 0.000 4.222
B Pb
6 1
Direct
0.000 0.000 0.297
0.000 0.000 0.703
0.000 0.297 0.000
0.000 0.703 0.000
0.297 0.000 0.000
0.703 0.000 0.000
0.500 0.500 0.500

***

(8)
Tm3GeTe (PBE, relaxed); formation energy (no corrections) = -74.0 kJ per mole of atoms; final energy = -100.035 eV/cell; SG = C2/c
1.0
7.143 -5.531 0.000
7.143 5.531 0.000
-0.245 0.000 7.266
Tm Ge Te
12 4 4
Direct
0.041 0.151 0.084
0.151 0.041 0.584
0.155 0.645 0.567
0.277 0.507 0.070
0.355 0.845 0.933
0.493 0.723 0.430
0.507 0.277 0.570
0.645 0.155 0.067
0.723 0.493 0.930
0.845 0.355 0.433
0.849 0.959 0.416
0.959 0.849 0.916
0.170 0.830 0.250
0.439 0.561 0.750
0.561 0.439 0.250
0.830 0.170 0.750
0.183 0.330 0.387
0.330 0.183 0.887
0.670 0.817 0.113
0.817 0.670 0.613

***

(9)
PuNpPdPt (PBE, relaxed); formation energy from the elements = -1.990 eV per formula unit; final energy = -40.497 eV/cell; SG = F-43m; E above lowest polymorph = 0.000 eV/atom
1.0
0.000 3.319 3.319
3.319 0.000 3.319
3.319 3.319 0.000
Pu Np Pd Pt
1 1 1 1
Direct
0.000 0.000 0.000
0.250 0.250 0.250
0.750 0.750 0.750
0.500 0.500 0.500

***

(10)
ZrTiPb2 (PBE, relaxed); formation energy from the elements = 0.164 eV per formula unit; final energy = -23.696 eV/cell; SG = P4/mmm; E above lowest polymorph = 0.005 eV/atom
1.0
4.626 0.000 0.000
0.000 4.626 0.000
0.000 0.000 4.255
Zr Ti Pb
1 1 2
Direct
0.000 0.000 0.000
0.500 0.500 0.000
0.000 0.500 0.500
0.500 0.000 0.500

***

(11)
AcThCuRu (PBE, relaxed); formation energy from the elements = -0.334 eV per formula unit; final energy = -25.234 eV/cell; SG = F-43m
1.0
0.000 3.645 3.645
3.645 0.000 3.645
3.645 3.645 0.000
Ac Th Cu Ru
1 1 1 1
Direct
0.000 0.000 0.000
0.500 0.500 0.500
0.750 0.750 0.750
0.250 0.250 0.250

***

(12)
NaNiP (PBE, relaxed); formation energy from the elements = -1.226 eV per formula unit; final energy = -27.473 eV/cell; SG = P-1
1.0
3.910 0.000 0.000
1.951 5.163 0.000
1.951 0.876 5.268
Na Ni P
2 2 2
Direct
0.082 0.203 0.133
0.918 0.797 0.867
0.241 0.622 0.396
0.759 0.378 0.604
0.361 0.198 0.580
0.639 0.802 0.420